A plane-wave DFT calculation with PBE was carried out for AsWAu2 after structural relaxation.

Output
magnetization = 0.00 μB/atom
E_form = 0.386 eV/atom
volume = 20.23 A^3/atom

Lattice parameters (Å, degrees): 2.729 4.610 12.865 90.00 90.00 90.00
Space group Imm2 (No. 44)
Asymmetric unit:
As 0.000 0.000 0.000
W 0.000 0.500 0.327
Au 0.000 0.000 0.627
Au 0.000 0.500 0.774